Record 1
DFT (PBE) results for an optimized crystal structure of Tb3AuS6.

Lattice parameters (Å, degrees): 4.2418 6.7124 8.4734 89.06 77.96 84.61
Last column: nearest neighbours and their distance in Å.
Sites, in units of the cell vectors:
Tb1 0.0000 0.0000 0.0000  6 S 2.73-2.77
Tb2 0.3624 0.5462 0.2709  7 S 2.76-2.88
Tb3 0.6376 0.4538 0.7291  7 S 2.76-2.88
Au1 0.0000 0.0000 0.5000  4 S 2.39-2.40
S1 0.1574 0.6776 0.6016  1 Au 2.40
S2 0.1758 0.1742 0.7050  1 Au 2.39
S3 0.4500 0.2625 0.0297  4 Tb 2.76-2.83
S4 0.5500 0.7375 0.9703  4 Tb 2.76-2.83
S5 0.8242 0.8258 0.2950  1 Au 2.39
S6 0.8426 0.3224 0.3984  1 Au 2.40

Summary:
* calculated volume: 234.9 Å³/f.u.
* E_tot: -0.4189 Ry per atom

Record 2
DFT (PBE) results for an optimized crystal structure of PaCuMo.

Lattice parameters (Å, degrees): 6.2573 6.2573 6.2573 90.00 90.00 90.00
Last column: nearest neighbours and their distance in Å.
Sites, in units of the cell vectors:
Pa1 0.0000 0.0000 0.0000  4 Mo 2.71, 4 Cu 2.71
Pa2 0.0000 0.5000 0.5000  4 Mo 2.71, 4 Cu 2.71
Pa3 0.5000 0.0000 0.5000  4 Mo 2.71, 4 Cu 2.71
Pa4 0.5000 0.5000 0.0000  4 Mo 2.71, 4 Cu 2.71
Cu1 0.2500 0.2500 0.7500  4 Pa 2.71
Cu2 0.2500 0.7500 0.2500  4 Pa 2.71
Cu3 0.7500 0.2500 0.2500  4 Pa 2.71
Cu4 0.7500 0.7500 0.7500  4 Pa 2.71
Mo1 0.2500 0.2500 0.2500  4 Pa 2.71
Mo2 0.2500 0.7500 0.7500  4 Pa 2.71
Mo3 0.7500 0.2500 0.7500  4 Pa 2.71
Mo4 0.7500 0.7500 0.2500  4 Pa 2.71

Summary:
* calculated formation energy: 903.2 meV per atom
* calculated volume: 61.2 Å³/f.u.
* E_tot: -0.5231 Ry per atom
* E above lowest polymorph: 0.3203 eV/atom

Record 3
DFT (PBE) results for an optimized crystal structure of NdYZn.

Lattice parameters (Å, degrees): 7.1128 7.1128 7.1128 90.00 90.00 90.00
Last column: nearest neighbours and their distance in Å.
Sites, in units of the cell vectors:
Nd1 0.0000 0.0000 0.0000  4 Zn 3.08
Nd2 0.0000 0.5000 0.5000  4 Zn 3.08
Nd3 0.5000 0.0000 0.5000  4 Zn 3.08
Nd4 0.5000 0.5000 0.0000  4 Zn 3.08
Y1 0.0000 0.0000 0.5000  4 Zn 3.08
Y2 0.0000 0.5000 0.0000  4 Zn 3.08
Y3 0.5000 0.0000 0.0000  4 Zn 3.08
Y4 0.5000 0.5000 0.5000  4 Zn 3.08
Zn1 0.2500 0.2500 0.2500  4 Nd 3.08, 4 Y 3.08
Zn2 0.2500 0.7500 0.7500  4 Nd 3.08, 4 Y 3.08
Zn3 0.7500 0.2500 0.7500  4 Nd 3.08, 4 Y 3.08
Zn4 0.7500 0.7500 0.2500  4 Nd 3.08, 4 Y 3.08

Summary:
* calculated formation energy: 17.9 meV per atom
* calculated volume: 90.0 Å³/f.u.
* E_tot: -0.3048 Ry per atom
* E above lowest polymorph: 0.0000 eV/atom

Record 4
DFT (PBE) results for an optimized crystal structure of BaCdSnSe4.

Lattice parameters (Å, degrees): 13.5138 13.3306 16.3007 53.12 52.10 74.78
Last column: nearest neighbours and their distance in Å.
Sites, in units of the cell vectors:
Ba1 0.0000 0.0000 0.0000  8 Se 3.39-3.45
Ba2 0.2486 0.7476 0.2556  8 Se 3.38-3.49
Ba3 0.2500 0.2500 0.2500  8 Se 3.39-3.45
Ba4 0.4952 0.4952 0.5048  8 Se 3.38-3.47
Ba5 0.5018 0.9944 0.5024  8 Se 3.38-3.49
Ba6 0.7452 0.7452 0.7548  8 Se 3.38-3.47
Ba7 0.7476 0.2486 0.7482  8 Se 3.38-3.49
Ba8 0.9944 0.5018 0.0014  8 Se 3.38-3.49
Cd1 0.1601 0.7630 0.5904  4 Se 2.63-2.74
Cd2 0.2338 0.2564 0.5177  4 Se 2.63-2.74
Cd3 0.2564 0.2338 0.9922  4 Se 2.63-2.74
Cd4 0.2578 0.7323 0.9936  4 Se 2.63-2.74
Cd5 0.6596 0.7635 0.0899  4 Se 2.63-2.74
Cd6 0.7323 0.2578 0.0162  4 Se 2.63-2.74
Cd7 0.7630 0.1601 0.4865  4 Se 2.63-2.74
Cd8 0.7635 0.6596 0.4870  4 Se 2.63-2.74
Sn1 0.0073 0.9844 0.7419  4 Se 2.55-2.59
Sn2 0.0949 0.4808 0.6545  4 Se 2.55-2.59
Sn3 0.4802 0.5955 0.7692  4 Se 2.55-2.59
Sn4 0.4808 0.0949 0.7698  4 Se 2.55-2.59
Sn5 0.5081 0.9836 0.2427  4 Se 2.55-2.59
Sn6 0.5955 0.4802 0.1551  4 Se 2.55-2.59
Sn7 0.9844 0.0073 0.2664  4 Se 2.55-2.59
Sn8 0.9836 0.5081 0.2656  4 Se 2.55-2.59
Se1 0.0204 0.2025 0.0567  1 Sn 2.58, 1 Cd 2.74
Se2 0.0243 0.7043 0.0538  1 Sn 2.58, 1 Cd 2.73
Se3 0.0305 0.6968 0.5466  1 Sn 2.57, 1 Cd 2.73
Se4 0.0324 0.1962 0.5457  1 Sn 2.58, 1 Cd 2.73
Se5 0.1933 0.5297 0.2296  1 Sn 2.58, 1 Cd 2.74
Se6 0.1962 0.0324 0.2257  1 Sn 2.58, 1 Cd 2.73
Se7 0.2014 0.5211 0.7219  1 Sn 2.57, 1 Cd 2.74
Se8 0.2025 0.0204 0.7203  1 Sn 2.58, 1 Cd 2.74
Se9 0.2705 0.4469 0.9762  1 Sn 2.55, 1 Cd 2.74
Se10 0.2738 0.9437 0.9795  1 Sn 2.55, 1 Cd 2.74
Se11 0.2863 0.4728 0.4648  1 Sn 2.59, 1 Cd 2.63
Se12 0.3119 0.9788 0.4395  1 Sn 2.59, 1 Cd 2.63
Se13 0.4469 0.2705 0.3063  1 Sn 2.55, 1 Cd 2.74
Se14 0.4616 0.7740 0.2915  1 Sn 2.55, 1 Cd 2.74
Se15 0.4728 0.2863 0.7761  1 Sn 2.59, 1 Cd 2.63
Se16 0.4739 0.7852 0.7772  1 Sn 2.59, 1 Cd 2.63
Se17 0.5211 0.2014 0.5556  1 Sn 2.57, 1 Cd 2.74
Se18 0.5239 0.7034 0.5532  1 Sn 2.57, 1 Cd 2.73
Se19 0.5281 0.6944 0.0486  1 Sn 2.57, 1 Cd 2.74
Se20 0.5297 0.1933 0.0475  1 Sn 2.58, 1 Cd 2.74
Se21 0.6944 0.5281 0.7289  1 Sn 2.57, 1 Cd 2.74
Se22 0.6968 0.0305 0.7261  1 Sn 2.57, 1 Cd 2.73
Se23 0.7034 0.5239 0.2195  1 Sn 2.57, 1 Cd 2.73
Se24 0.7043 0.0243 0.2176  1 Sn 2.58, 1 Cd 2.73
Se25 0.7740 0.4616 0.4729  1 Sn 2.55, 1 Cd 2.74
Se26 0.7771 0.9585 0.4760  1 Sn 2.55, 1 Cd 2.74
Se27 0.7852 0.4739 0.9637  1 Sn 2.59, 1 Cd 2.63
Se28 0.8105 0.9802 0.9381  1 Sn 2.59, 1 Cd 2.63
Se29 0.9437 0.2738 0.8031  1 Sn 2.55, 1 Cd 2.74
Se30 0.9585 0.7771 0.7884  1 Sn 2.55, 1 Cd 2.74
Se31 0.9788 0.3119 0.2698  1 Sn 2.59, 1 Cd 2.63
Se32 0.9802 0.8105 0.2712  1 Sn 2.59, 1 Cd 2.63

Summary:
* calculated volume: 228.4 Å³/f.u.
* E_tot: -0.2890 Ry per atom

Record 5
DFT (PBE) results for an optimized crystal structure of AcDyAsO.

Lattice parameters (Å, degrees): 4.3105 6.0452 7.5324 90.00 90.00 90.00
Last column: nearest neighbours and their distance in Å.
Sites, in units of the cell vectors:
Ac1 0.0000 0.0958 0.0000  2 O 2.56-2.64
Ac2 0.0000 0.9042 0.5000  2 O 2.56-2.64
Dy1 0.5000 0.3714 0.3419  2 O 2.25
Dy2 0.5000 0.6286 0.8419  2 O 2.25
As1 0.5000 0.1848 0.7011  2 Dy 2.88-2.93, 4 Ac 3.13-3.16
As2 0.5000 0.8152 0.2011  2 Dy 2.88-2.93, 4 Ac 3.13-3.16
O1 0.0000 0.2703 0.3096  2 Dy 2.25
O2 0.0000 0.7297 0.8096  2 Dy 2.25

Summary:
* calculated volume: 98.1 Å³/f.u.
* E_tot: -0.4854 Ry per atom
* E above lowest polymorph: 0.0000 eV/atom

Record 6
DFT (PBE) results for an optimized crystal structure of Hf2AlSbPt2.

Lattice parameters (Å, degrees): 7.7003 7.7003 7.7003 131.80 131.80 70.55
Last column: nearest neighbours and their distance in Å.
Sites, in units of the cell vectors:
Hf1 0.2458 0.2458 0.0000  4 Pt 2.65-2.79
Hf2 0.5042 0.0042 0.5000  4 Pt 2.65-2.79
Hf3 0.7542 0.7542 0.0000  4 Pt 2.65-2.79
Hf4 0.9958 0.4958 0.5000  4 Pt 2.65-2.79
Al1 0.0000 0.0000 0.0000  4 Pt 2.68
Al2 0.7500 0.2500 0.5000  4 Pt 2.68
Sb1 0.2500 0.7500 0.5000  4 Pt 2.76
Sb2 0.5000 0.5000 0.0000  4 Pt 2.76
Pt1 0.1139 0.6250 0.9889  4 Hf 2.65-2.79, 2 Al 2.68, 2 Sb 2.76
Pt2 0.3750 0.3639 0.4889  4 Hf 2.65-2.79, 2 Al 2.68, 2 Sb 2.76
Pt3 0.6361 0.1250 0.0111  4 Hf 2.65-2.79, 2 Al 2.68, 2 Sb 2.76
Pt4 0.8750 0.8861 0.5111  4 Hf 2.65-2.79, 2 Al 2.68, 2 Sb 2.76

Summary:
* calculated volume: 124.3 Å³/f.u.
* E_tot: -0.5627 Ry per atom